# 1
# Tb6NdSm2Tm3

A relaxed Tb6NdSm2Tm3 crystal (GGA-PBE, the Alexandria database).

The value obtained for the total energy is -4.5981 eV per atom. As for the formation energy: 0.23 eV per formula unit.

Lattice parameters (Å, degrees): 6.175 10.689 11.803 90.00 100.01 90.00
Space group C2/m (No. 12)
Inequivalent atoms, fractional coordinates:
1 Tb 0.248 0.000 0.245 [4 per cell]
2 Tb 0.248 0.333 0.246 [8 per cell]
3 Nd 0.000 0.000 0.500 [2 per cell]
4 Sm 0.000 0.333 0.500 [4 per cell]
5 Tm 0.000 0.167 0.000 [4 per cell]
6 Tm 0.000 0.500 0.000 [2 per cell]

# 2
# HgAsP2

A relaxed HgAsP2 crystal (GGA-PBE, the Alexandria database).

The value obtained for the total energy is -3.2395 eV per atom. As for the formation energy: 2.81 eV per formula unit. As for the energy above the most stable polymorph in this dataset: 2.10 eV per formula unit.

Lattice parameters (Å, degrees): 3.602 3.613 6.895 90.00 90.00 90.00
Space group Pmmm (No. 47)
Inequivalent atoms, fractional coordinates:
1 Hg 0.000 0.000 0.000 [1 per cell]
2 As 0.000 0.500 0.500 [1 per cell]
3 P 0.500 0.000 0.500 [1 per cell]
4 P 0.500 0.500 0.000 [1 per cell]

# 3
# NiPtBr2

A relaxed NiPtBr2 crystal (GGA-PBE, the Alexandria database).

The value obtained for the total energy is -3.3380 eV per atom. As for the energy above the most stable polymorph in this dataset: 2.05 eV per formula unit. The formation energy (no corrections) is 0.45 eV/atom.

Lattice parameters (Å, degrees): 5.108 3.334 5.146 90.00 95.82 90.00
Space group P2/m (No. 10)
Inequivalent atoms, fractional coordinates:
1 Ni 0.000 0.000 0.000 [1 per cell]
2 Pt 0.500 0.000 0.500 [1 per cell]
3 Br 0.231 0.500 0.769 [2 per cell]

# 4
# LiScNiPb

A relaxed LiScNiPb crystal (GGA-PBE, the Alexandria database).

The value obtained for the total energy is -4.8309 eV per atom. As for the formation energy: -1.59 eV per formula unit.

Lattice parameters (Å, degrees): 6.440 6.440 6.440 90.00 90.00 90.00
Space group F-43m (No. 216)
Inequivalent atoms, fractional coordinates:
1 Li 0.000 0.000 0.000 [4 per cell]
2 Sc 0.250 0.250 0.250 [4 per cell]
3 Ni 0.000 0.000 0.500 [4 per cell]
4 Pb 0.250 0.250 0.750 [4 per cell]

Please write out number 3 again, unchanged.
# NiPtBr2

A relaxed NiPtBr2 crystal (GGA-PBE, the Alexandria database).

The value obtained for the total energy is -3.3380 eV per atom. As for the energy above the most stable polymorph in this dataset: 2.05 eV per formula unit. The formation energy (no corrections) is 0.45 eV/atom.

Lattice parameters (Å, degrees): 5.108 3.334 5.146 90.00 95.82 90.00
Space group P2/m (No. 10)
Inequivalent atoms, fractional coordinates:
1 Ni 0.000 0.000 0.000 [1 per cell]
2 Pt 0.500 0.000 0.500 [1 per cell]
3 Br 0.231 0.500 0.769 [2 per cell]